(1)
{
  "formula": "Sm7Y12Pu",
  "functional": "GGA-PBE",
  "state": "relaxed",
  "delta_e_f_mev_per_atom": 233,
  "n_ef_per_ev_atom": 2.016,
  "e_tot_ev_per_atom": -6.0141,
  "total_magnetization_mub_per_cell": 3.102,
  "relative_energy_ev_per_atom": 0.000,
  "crystal_system": "trigonal",
  "cell": [[-1.612, -7.218, -4.689], [8.417, -0.254, -2.400], [1.800, -4.903, 7.029]],
  "species": ["Y", "Y", "Y", "Y", "Y", "Y", "Y", "Y", "Y", "Y", "Y", "Y", "Sm", "Sm", "Sm", "Sm", "Sm", "Sm", "Sm", "Pu"],
  "fractional_positions": [[0.772, 0.232, 0.624], [0.351, 0.453, 0.124], [0.228, 0.768, 0.376], [0.547, 0.876, 0.649], [0.649, 0.547, 0.876], [0.453, 0.124, 0.351], [0.232, 0.624, 0.772], [0.768, 0.376, 0.228], [0.124, 0.351, 0.453], [0.376, 0.228, 0.768], [0.876, 0.649, 0.547], [0.624, 0.772, 0.232], [0.931, 0.027, 0.327], [0.673, 0.069, 0.973], [0.973, 0.673, 0.069], [0.027, 0.327, 0.931], [0.327, 0.931, 0.027], [0.069, 0.973, 0.673], [0.500, 0.500, 0.500], [0.000, 0.000, 0.000]]
}

(2)
{
  "formula": "Ca2PAu2",
  "functional": "GGA-PBE",
  "state": "relaxed",
  "delta_e_f_mev_per_atom": -599,
  "n_ef_per_ev_atom": 0.451,
  "e_tot_ev_per_atom": -3.7924,
  "total_magnetization_mub_per_cell": 0.000,
  "relative_energy_ev_per_atom": 0.072,
  "crystal_system": "tetragonal",
  "cell": [[-5.550, -3.104, 3.638], [3.700, 0.745, 6.279], [-1.769, 3.849, 0.586]],
  "species": ["Ca", "Ca", "Ca", "Ca", "Au", "Au", "Au", "Au", "P", "P"],
  "fractional_positions": [[0.178, 0.678, 0.500], [0.678, 0.822, 0.500], [0.822, 0.322, 0.500], [0.322, 0.178, 0.500], [0.132, 0.368, 0.000], [0.868, 0.632, 0.000], [0.632, 0.132, 0.000], [0.368, 0.868, 0.000], [0.000, 0.000, 0.000], [0.500, 0.500, 0.000]]
}

(3)
{
  "formula": "Cu2Ag3Cl6",
  "functional": "GGA-PBE",
  "state": "relaxed",
  "raw_formation_energy_ev_per_atom": -0.443,
  "n_ef_per_ev_atom": 0.785,
  "e_tot_ev_per_atom": -2.9725,
  "total_magnetization_mub_per_cell": 0.000,
  "relative_energy_ev_per_atom": 0.000,
  "crystal_system": "trigonal",
  "cell": [[6.473, 0.000, 0.000], [0.000, 6.021, -3.476], [0.000, 0.000, 6.952]],
  "species": ["Ag", "Ag", "Ag", "Cl", "Cl", "Cl", "Cl", "Cl", "Cl", "Cu", "Cu"],
  "fractional_positions": [[0.277, 0.333, 0.667], [0.723, 0.667, 0.333], [0.500, 0.000, 0.000], [0.743, 0.030, 0.694], [0.257, 0.694, 0.665], [0.257, 0.335, 0.030], [0.743, 0.665, 0.970], [0.743, 0.306, 0.335], [0.257, 0.970, 0.306], [0.267, 0.667, 0.333], [0.733, 0.333, 0.667]]
}

(4)
{
  "formula": "Tb2MgCd3",
  "functional": "GGA-PBE",
  "state": "relaxed",
  "delta_e_f_mev_per_atom": -307,
  "n_ef_per_ev_atom": 0.706,
  "e_tot_ev_per_atom": -2.5738,
  "total_magnetization_mub_per_cell": 0.000,
  "relative_energy_ev_per_atom": 0.000,
  "crystal_system": "trigonal",
  "cell": [[-0.938, 5.008, 0.824], [-2.792, -3.586, 2.447], [8.461, -0.003, 9.648]],
  "species": ["Tb", "Tb", "Tb", "Tb", "Cd", "Cd", "Cd", "Cd", "Cd", "Cd", "Mg", "Mg"],
  "fractional_positions": [[0.667, 0.333, 0.824], [0.333, 0.667, 0.176], [0.000, 0.000, 0.000], [0.000, 0.000, 0.500], [0.000, 0.000, 0.745], [0.000, 0.000, 0.255], [0.333, 0.667, 0.914], [0.333, 0.667, 0.419], [0.667, 0.333, 0.086], [0.667, 0.333, 0.581], [0.333, 0.667, 0.663], [0.667, 0.333, 0.337]]
}

(5)
{
  "formula": "MoIBr3",
  "functional": "GGA-PBE",
  "state": "relaxed",
  "raw_formation_energy_ev_per_atom": -0.390,
  "n_ef_per_ev_atom": 0.816,
  "e_tot_ev_per_atom": -3.8704,
  "total_magnetization_mub_per_cell": 4.000,
  "relative_energy_ev_per_atom": 0.000,
  "crystal_system": "monoclinic",
  "cell": [[6.705, 0.262, 1.865], [-2.642, 5.699, 1.774], [0.112, -0.197, 9.167]],
  "species": ["I", "I", "Br", "Br", "Br", "Br", "Br", "Br", "Mo", "Mo"],
  "fractional_positions": [[0.787, 0.609, 0.887], [0.434, 0.757, 0.591], [0.022, 0.841, 0.345], [0.128, 0.447, 0.133], [0.269, 0.037, 0.905], [0.935, 0.203, 0.573], [0.600, 0.375, 0.345], [0.706, 0.981, 0.133], [0.794, 0.092, 0.377], [0.932, 0.729, 0.101]]
}

(6)
{
  "formula": "TmMgGa",
  "functional": "GGA-PBE",
  "state": "relaxed",
  "delta_e_f_mev_per_atom": -267,
  "n_ef_per_ev_atom": 0.537,
  "e_tot_ev_per_atom": -3.2979,
  "total_magnetization_mub_per_cell": 0.109,
  "relative_energy_ev_per_atom": 0.211,
  "crystal_system": "tetragonal",
  "cell": [[3.320, 0.000, 0.000], [0.000, 3.320, 0.000], [-1.660, -1.660, 6.089]],
  "species": ["Mg", "Tm", "Ga"],
  "fractional_positions": [[0.637, 0.637, 0.273], [0.934, 0.934, 0.869], [0.279, 0.279, 0.558]]
}